Entry 1:
## LiZnCu (GGA-PBE)

Data for an optimized crystal structure of LiZnCu.

Computed properties:
Total DFT energy (no corrections)   -2.48 eV/atom
Relative energy among the computed polymorphs   0.0969 eV per atom
E_form   -0.047 eV/atom

Lattice parameters (Å, degrees): 6.879 6.673 2.615 83.34 74.47 22.18
Fractional coordinates of all 3 atoms:
1 Li 0.663 0.663 0.337
2 Cu 0.001 0.001 0.999
3 Zn 0.336 0.336 0.664

Entry 2:
## Li5Zn5Cu2 (GGA-PBE)

Data for an optimized crystal structure of Li5Zn5Cu2.

Computed properties:
Total DFT energy (no corrections)   -2.13 eV/atom
E_form   -0.119 eV/atom

Lattice parameters (Å, degrees): 4.356 4.356 11.285 77.87 77.87 60.59
Fractional coordinates of all 12 atoms:
1 Zn 0.143 0.143 0.561
2 Zn 0.607 0.607 0.198
3 Zn 0.000 0.000 0.000
4 Zn 0.857 0.857 0.439
5 Zn 0.393 0.393 0.802
6 Cu 0.938 0.938 0.216
7 Cu 0.062 0.062 0.784
8 Li 0.768 0.768 0.677
9 Li 0.691 0.691 0.919
10 Li 0.309 0.309 0.081
11 Li 0.500 0.500 0.500
12 Li 0.232 0.232 0.323

Entry 3:
## Li2Zn5Cu2 (GGA-PBE)

Data for an optimized crystal structure of Li2Zn5Cu2.

Computed properties:
Total DFT energy (no corrections)   -2.13 eV/atom
Relative energy among the computed polymorphs   0.0000 eV per atom
E_form   -0.086 eV/atom

Lattice parameters (Å, degrees): 6.841 6.987 4.474 40.29 102.13 106.52
Fractional coordinates of all 9 atoms:
1 Li 0.667 0.521 0.672
2 Li 0.333 0.479 0.328
3 Zn 0.588 0.074 0.701
4 Zn 0.000 0.000 0.000
5 Zn 0.412 0.926 0.299
6 Zn 0.895 0.521 0.196
7 Zn 0.105 0.479 0.804
8 Cu 0.811 0.038 0.378
9 Cu 0.189 0.962 0.622

Entry 4:
## LiZn2Cu (GGA-PBE)

Data for an optimized crystal structure of LiZn2Cu.

Computed properties:
Total DFT energy (no corrections)   -2.04 eV/atom
E_form   0.096 eV/atom

Lattice parameters (Å, degrees): 6.982 6.982 5.556 51.08 51.08 90.00
Fractional coordinates of all 8 atoms:
1 Zn 0.646 0.125 0.250
2 Zn 0.375 0.354 0.750
3 Zn 0.875 0.896 0.750
4 Zn 0.104 0.625 0.250
5 Li 0.500 0.500 0.000
6 Li 0.250 0.750 0.500
7 Cu 0.750 0.250 0.500
8 Cu 0.000 0.000 0.000

> What is the formula in the second record?

Li5Zn5Cu2

> What is the formula in the third record?

Li2Zn5Cu2